(P)
Here is a relaxed La2CuTe2 crystal from Alexandria via LeMat-Bulk. Energies are from PBE.

Lattice parameters (Å, degrees): 8.409 8.409 4.209 90.00 90.00 90.00
Sites, in units of the cell vectors:
Cu (0.500, 0.500, 0.000)
Te (0.648, 0.148, 0.000)
Cu (0.000, 0.000, 0.000)
La (0.843, 0.343, 0.500)
La (0.157, 0.657, 0.500)
Te (0.148, 0.352, 0.000)
La (0.657, 0.843, 0.500)
Te (0.352, 0.852, 0.000)
La (0.343, 0.157, 0.500)
Te (0.852, 0.648, 0.000)

- DOS(E_F): 0.62 states/eV/atom
- Total moment: 0.0 μB per cell

---

(Q)
Here is a relaxed La2CuTe2 crystal from Alexandria via LeMat-Bulk. Energies are from PBE.

Lattice parameters (Å, degrees): 8.457 8.457 4.314 90.00 90.00 90.00
Sites, in units of the cell vectors:
La (0.344, 0.844, 0.000)
Te (0.149, 0.649, 0.500)
Te (0.351, 0.149, 0.500)
Cu (0.500, 0.500, 0.000)
La (0.844, 0.656, 0.000)
La (0.156, 0.344, 0.000)
Cu (0.000, 0.000, 0.000)
Te (0.851, 0.351, 0.500)
Te (0.649, 0.851, 0.500)
La (0.656, 0.156, 0.000)

- DOS(E_F): 0.73 states/eV/atom
- Total moment: 0.0 μB per cell

---

The most stable arrangement is (Q), and the next structure is 0.078 eV/atom less stable.

---

(P)
Here is a relaxed La2ThCu crystal from Alexandria via LeMat-Bulk. Energies are from PBE.

Lattice parameters (Å, degrees): 3.502 3.502 11.524 81.26 81.26 60.00
Sites, in units of the cell vectors:
La (0.102, 0.102, 0.695)
La (0.898, 0.898, 0.305)
Th (0.000, 0.000, 0.000)
Cu (0.500, 0.500, 0.500)

- DOS(E_F): 1.02 states/eV/atom
- Total moment: 0.0 μB per cell

---

(Q)
Here is a relaxed La2ThCu crystal from Alexandria via LeMat-Bulk. Energies are from PBE.

Lattice parameters (Å, degrees): 3.705 3.705 10.428 79.77 79.77 60.00
Sites, in units of the cell vectors:
Cu (0.667, 0.667, 0.999)
La (0.070, 0.070, 0.791)
Th (0.500, 0.500, 0.500)
La (0.264, 0.264, 0.209)

- DOS(E_F): 1.53 states/eV/atom
- Total moment: 0.0 μB per cell

---

The most stable arrangement is (Q), and the next structure is 0.156 eV/atom less stable.

---

(P)
Here is a relaxed LaThCu4 crystal from Alexandria via LeMat-Bulk. Energies are from PBE.

Lattice parameters (Å, degrees): 5.381 5.381 5.381 60.00 60.00 60.00
Sites, in units of the cell vectors:
Cu (0.625, 0.625, 0.625)
Cu (0.625, 0.625, 0.126)
Cu (0.625, 0.126, 0.625)
La (0.000, 0.000, 0.000)
Th (0.250, 0.250, 0.250)
Cu (0.126, 0.625, 0.625)

- DOS(E_F): 1.22 states/eV/atom
- Total moment: 0.0 μB per cell

---

(Q)
Here is a relaxed LaThCu4 crystal from Alexandria via LeMat-Bulk. Energies are from PBE.

Lattice parameters (Å, degrees): 3.963 3.963 8.340 103.74 103.74 90.00
Sites, in units of the cell vectors:
La (0.250, 0.750, 0.500)
Cu (0.579, 0.579, 0.157)
Cu (0.831, 0.331, 0.663)
Cu (0.669, 0.169, 0.337)
Th (0.000, 0.000, 0.000)
Cu (0.421, 0.421, 0.843)

- DOS(E_F): 0.73 states/eV/atom
- Total moment: 0.0 μB per cell

---

The most stable arrangement is (Q), and the next structure is 0.133 eV/atom less stable.

---

(P)
Here is a relaxed LaTiCu3 crystal from Alexandria via LeMat-Bulk. Energies are from PBE.

Lattice parameters (Å, degrees): 4.726 4.726 4.726 90.00 90.00 90.00
Sites, in units of the cell vectors:
Cu (0.000, 0.500, 0.000)
Cu (0.500, 0.000, 0.000)
La (0.500, 0.500, 0.500)
Ti (0.000, 0.000, 0.000)
Cu (0.000, 0.000, 0.500)

- DOS(E_F): 1.38 states/eV/atom
- Total moment: 0.6 μB per cell

---

(Q)
Here is a relaxed LaTiCu3 crystal from Alexandria via LeMat-Bulk. Energies are from PBE.

Lattice parameters (Å, degrees): 4.954 4.954 4.954 90.00 90.00 90.00
Sites, in units of the cell vectors:
Cu (0.500, 0.000, 0.000)
Cu (0.000, 0.000, 0.500)
Ti (0.500, 0.500, 0.500)
La (0.000, 0.000, 0.000)
Cu (0.000, 0.500, 0.000)

- DOS(E_F): 1.72 states/eV/atom
- Total moment: 0.0 μB per cell

---

The most stable arrangement is (P), and the next structure is 0.964 eV/atom less stable.